#one
Here is a relaxed Na2Ac3Pb3 crystal from Alexandria via LeMat-Bulk. Energies are from GGA-PBE.

Summary:
Theoretical density (Mg/m³): 7.91

Cell: 4.2568 5.4679 24.3344 Å, 90.00 90.00 90.00°
Closest atoms and distances in Å follow each position.
Space group Immm (No. 71)
Unique sites:
Na 0.0000 0.0000 0.2492 x4  2 Pb 3.29, 4 Na 3.47
Ac 0.0000 0.0000 0.0000 x2  4 Pb 3.46
Ac 0.0000 0.5000 0.1188 x4  6 Pb 3.53-3.59, 2 Na 3.85
Pb 0.0000 0.0000 0.5000 x2  8 Ac 3.46-3.59
Pb 0.0000 0.5000 0.3540 x4  2 Na 3.29, 4 Ac 3.53


#two
Here is a relaxed Na2Ac3Pb3 crystal from Alexandria via LeMat-Bulk. Energies are from GGA-PBE.

Summary:
Theoretical density (Mg/m³): 7.41

Cell: 10.0854 10.0854 6.8600 Å, 90.00 90.00 120.00°
Closest atoms and distances in Å follow each position.
Space group P6_3/mcm (No. 193)
Unique sites:
Na 0.3333 0.6667 0.0000 x4  2 Na 3.43, 6 Pb 3.66
Ac 0.0000 0.3024 0.2500 x6  5 Pb 3.38-3.48
Pb 0.0000 0.3609 0.7500 x6  5 Ac 3.38-3.48, 4 Na 3.66


Result of the stability comparison: #one is the least stable of them.


#one
Here is a relaxed NaAc2Pd crystal from Alexandria via LeMat-Bulk. Energies are from GGA-PBE.

Summary:
Theoretical density (Mg/m³): 7.67

Cell: 7.9629 7.9629 7.9629 Å, 90.00 90.00 90.00°
Closest atoms and distances in Å follow each position.
Space group Fm-3m (No. 225)
Unique sites:
Na 0.0000 0.0000 0.0000 x4  8 Ac 3.45
Ac 0.2500 0.2500 0.2500 x8  4 Na 3.45, 4 Pd 3.45
Pd 0.0000 0.0000 0.5000 x4  8 Ac 3.45


#two
Here is a relaxed NaAc2Pd crystal from Alexandria via LeMat-Bulk. Energies are from GGA-PBE.

Summary:
Theoretical density (Mg/m³): 5.88

Cell: 4.4410 4.4410 28.9252 Å, 90.00 90.00 120.00°
Closest atoms and distances in Å follow each position.
Space group R3m (No. 160, hexagonal axes)
Unique sites:
Na 0.0000 0.0000 0.0000 x3  6 Ac 4.08-4.10, 6 Na 4.44
Ac 0.0000 0.0000 0.2235 x3  3 Pd 3.04
Ac 0.0000 0.0000 0.4438 x3  3 Pd 3.04
Pd 0.0000 0.0000 0.8338 x3  6 Ac 3.04


Result of the stability comparison: #one is the least stable of them.


#one
Here is a relaxed NaAc2Pd crystal from Alexandria via LeMat-Bulk. Energies are from GGA-PBE.

Summary:
Theoretical density (Mg/m³): 5.23

Cell: 4.3757 4.3757 33.4851 Å, 90.00 90.00 120.00°
Closest atoms and distances in Å follow each position.
Space group R-3m (No. 166, hexagonal axes)
Unique sites:
Na 0.0000 0.0000 0.0000 x3  2 Ac 3.93, 6 Na 4.38
Ac 0.0000 0.0000 0.1173 x6  3 Pd 3.02
Pd 0.0000 0.0000 0.5000 x3  6 Ac 3.02


#two
Here is a relaxed NaAc2Pd crystal from Alexandria via LeMat-Bulk. Energies are from GGA-PBE.

Summary:
Theoretical density (Mg/m³): 6.90

Cell: 3.8428 3.8428 9.5056 Å, 90.00 90.00 90.00°
Closest atoms and distances in Å follow each position.
Space group P4/mmm (No. 123)
Unique sites:
Na 0.0000 0.0000 0.0000 x1  4 Na 3.84, 8 Ac 4.01
Ac 0.5000 0.5000 0.3106 x2  4 Pd 3.26, 1 Ac 3.60
Pd 0.0000 0.0000 0.5000 x1  8 Ac 3.26


Result of the stability comparison: #one is the least stable of them.


#one
Here is a relaxed NaAcPm crystal from Alexandria via LeMat-Bulk. Energies are from GGA-PBE.

Summary:
Theoretical density (Mg/m³): 5.56

Cell: 3.7608 3.7608 16.6814 Å, 90.00 90.00 90.00°
Closest atoms and distances in Å follow each position.
Space group I4mm (No. 107)
Unique sites:
Na 0.0000 0.0000 0.0000 x2  4 Na 3.76, 4 Pm 3.81, 4 Ac 3.99
Ac 0.0000 0.0000 0.6783 x2  4 Pm 3.74, 4 Ac 3.76, 4 Na 3.99
Pm 0.0000 0.0000 0.3362 x2  4 Ac 3.74, 4 Pm 3.76, 4 Na 3.81


#two
Here is a relaxed NaAcPm crystal from Alexandria via LeMat-Bulk. Energies are from GGA-PBE.

Summary:
Theoretical density (Mg/m³): 5.50

Cell: 6.6471 3.8328 18.8560 Å, 90.00 97.06 90.00°
Closest atoms and distances in Å follow each position.
Space group C2/m (No. 12)
Unique sites:
Na 0.1901 0.0000 0.0836 x4  9 Na 3.79-3.86, 3 Ac 3.95-3.97
Ac 0.0814 0.5000 0.2593 x4  3 Pm 3.76, 6 Ac 3.83-3.84, 3 Na 3.95-3.97
Pm 0.1943 0.5000 0.5783 x4  9 Pm 3.67-3.84, 3 Ac 3.76


Result of the stability comparison: #one is the least stable of them.


#one
Here is a relaxed NaAcPm2 crystal from Alexandria via LeMat-Bulk. Energies are from GGA-PBE.

Summary:
Theoretical density (Mg/m³): 5.74

Cell: 3.6976 3.6976 39.5941 Å, 90.00 90.00 120.00°
Closest atoms and distances in Å follow each position.
Space group R-3m (No. 166, hexagonal axes)
Unique sites:
Na 0.0000 0.0000 0.0000 x3  2 Pm 3.59, 6 Na 3.70
Ac 0.0000 0.0000 0.5000 x3  6 Pm 3.69, 6 Ac 3.70
Pm 0.0000 0.0000 0.0906 x6  1 Na 3.59, 3 Ac 3.69, 6 Pm 3.70


#two
Here is a relaxed NaAcPm2 crystal from Alexandria via LeMat-Bulk. Energies are from GGA-PBE.

Summary:
Theoretical density (Mg/m³): 5.99

Cell: 3.7488 3.7488 10.6544 Å, 90.00 90.00 90.00°
Closest atoms and distances in Å follow each position.
Space group P4/mmm (No. 123)
Unique sites:
Na 0.0000 0.0000 0.0000 x1  4 Na 3.75, 8 Pm 3.81
Ac 0.0000 0.0000 0.5000 x1  8 Pm 3.71, 4 Ac 3.75
Pm 0.5000 0.5000 0.2567 x2  4 Ac 3.71, 4 Pm 3.75, 4 Na 3.81


Result of the stability comparison: #one is the least stable of them.


#one
Here is a relaxed NaAcPr crystal from Alexandria via LeMat-Bulk. Energies are from GGA-PBE.

Summary:
Theoretical density (Mg/m³): 5.40

Cell: 3.7824 3.7824 16.8009 Å, 90.00 90.00 90.00°
Closest atoms and distances in Å follow each position.
Space group I4mm (No. 107)
Unique sites:
Na 0.0000 0.0000 0.0000 x2  4 Na 3.78, 4 Pr 3.85, 4 Ac 4.00
Ac 0.0000 0.0000 0.3233 x2  4 Pr 3.78, 4 Ac 3.78, 4 Na 4.00
Pr 0.0000 0.0000 0.6645 x2  4 Ac 3.78, 4 Pr 3.78, 4 Na 3.85


#two
Here is a relaxed NaAcPr crystal from Alexandria via LeMat-Bulk. Energies are from GGA-PBE.

Summary:
Theoretical density (Mg/m³): 5.36

Cell: 3.8301 3.8301 9.5339 Å, 90.00 90.00 120.00°
Closest atoms and distances in Å follow each position.
Space group P3m1 (No. 156)
Unique sites:
Na 0.0000 0.0000 0.0000 x1  6 Na 3.83, 3 Pr 3.88, 3 Ac 4.00
Ac 0.6667 0.3333 0.3502 x1  3 Pr 3.73, 6 Ac 3.83, 3 Na 4.00
Pr 0.3333 0.6667 0.6659 x1  3 Ac 3.73, 6 Pr 3.83, 3 Na 3.88


#three
Here is a relaxed NaAcPr crystal from Alexandria via LeMat-Bulk. Energies are from GGA-PBE.

Summary:
Theoretical density (Mg/m³): 5.29

Cell: 22.1017 3.7767 5.8765 Å, 90.00 90.01 90.00°
Closest atoms and distances in Å follow each position.
Space group C2/m (No. 12)
Unique sites:
Na 0.2067 0.0000 0.2491 x4  1 Pr 3.71, 6 Na 3.78-3.99, 5 Ac 4.00-4.07
Ac 0.1123 0.5000 0.7497 x4  2 Ac 3.78, 6 Pr 3.84-3.86, 5 Na 4.00-4.07
Pr 0.0388 0.0000 0.2504 x4  4 Pr 3.40-3.78, 1 Na 3.71


Result of the stability comparison: #one is the least stable of them.


#one
Here is a relaxed NaAc2Pr crystal from Alexandria via LeMat-Bulk. Energies are from GGA-PBE.

Summary:
Theoretical density (Mg/m³): 6.01

Cell: 3.8674 3.8674 13.1755 Å, 90.00 90.00 120.00°
Closest atoms and distances in Å follow each position.
Space group P3m1 (No. 156)
Unique sites:
Na 0.0000 0.0000 0.0000 x1  4 Ac 3.73-3.99, 6 Na 3.87
Ac 0.0000 0.0000 0.7168 x1  1 Na 3.73, 3 Pr 3.78, 6 Ac 3.87
Ac 0.6667 0.3333 0.2511 x1  3 Pr 3.80, 6 Ac 3.87, 3 Na 3.99
Pr 0.3333 0.6667 0.4849 x1  6 Ac 3.78-3.80, 6 Pr 3.87


#two
Here is a relaxed NaAc2Pr crystal from Alexandria via LeMat-Bulk. Energies are from GGA-PBE.

Summary:
Theoretical density (Mg/m³): 6.16

Cell: 3.8572 3.8572 11.1996 Å, 90.00 90.00 90.00°
Closest atoms and distances in Å follow each position.
Space group P4/mmm (No. 123)
Unique sites:
Na 0.0000 0.0000 0.0000 x1  4 Na 3.86, 8 Ac 4.01
Ac 0.5000 0.5000 0.2630 x2  4 Pr 3.81, 4 Ac 3.86, 4 Na 4.01
Pr 0.0000 0.0000 0.5000 x1  8 Ac 3.81, 4 Pr 3.86


#three
Here is a relaxed NaAc2Pr crystal from Alexandria via LeMat-Bulk. Energies are from GGA-PBE.

Summary:
Theoretical density (Mg/m³): 6.38

Cell: 6.3413 6.3413 4.0002 Å, 90.00 90.00 90.00°
Closest atoms and distances in Å follow each position.
Space group P4/mmm (No. 123)
Unique sites:
Na 0.0000 0.0000 0.0000 x1  8 Ac 3.75, 2 Na 4.00
Ac 0.0000 0.5000 0.5000 x2  4 Pr 3.75, 4 Na 3.75, 2 Ac 4.00
Pr 0.5000 0.5000 0.0000 x1  8 Ac 3.75, 2 Pr 4.00


Result of the stability comparison: #three is the least stable of them.


#one
Here is a relaxed NaSrAcRh crystal from Alexandria via LeMat-Bulk. Energies are from GGA-PBE.

Summary:
Theoretical density (Mg/m³): 4.68

Cell: 7.4000 4.2709 10.2051 Å, 90.00 104.16 90.00°
Closest atoms and distances in Å follow each position.
Space group Cm (No. 8)
Unique sites:
Na 0.0000 0.0000 0.0000 x2  3 Sr 4.11-4.13, 3 Ac 4.12-4.13, 6 Na 4.27
Sr 0.2232 0.0000 0.6668 x2  3 Rh 3.06
Ac 0.4446 0.0000 0.3346 x2  3 Rh 2.88
Rh 0.3284 0.5000 0.4842 x2  3 Ac 2.88, 3 Sr 3.06


#two
Here is a relaxed NaSrAcRh crystal from Alexandria via LeMat-Bulk. Energies are from GGA-PBE.

Summary:
Theoretical density (Mg/m³): 6.31

Cell: 7.7411 7.7411 7.7411 Å, 90.00 90.00 90.00°
Closest atoms and distances in Å follow each position.
Space group F-43m (No. 216)
Unique sites:
Na 0.0000 0.0000 0.0000 x4  4 Ac 3.35, 4 Sr 3.35
Sr 0.2500 0.2500 0.2500 x4  4 Na 3.35, 4 Rh 3.35
Ac 0.2500 0.2500 0.7500 x4  4 Na 3.35, 4 Rh 3.35
Rh 0.0000 0.0000 0.5000 x4  4 Ac 3.35, 4 Sr 3.35


Result of the stability comparison: #two is the least stable of them.


#one
Here is a relaxed NaAc2Sc crystal from Alexandria via LeMat-Bulk. Energies are from GGA-PBE.

Summary:
Theoretical density (Mg/m³): 5.59

Cell: 4.0949 4.0949 9.2410 Å, 90.00 90.00 90.00°
Closest atoms and distances in Å follow each position.
Space group P4/mmm (No. 123)
Unique sites:
Na 0.0000 0.0000 0.0000 x1  8 Ac 3.89, 4 Na 4.09
Ac 0.5000 0.5000 0.2811 x2  4 Sc 3.53, 4 Na 3.89
Sc 0.0000 0.0000 0.5000 x1  8 Ac 3.53


#two
Here is a relaxed NaAc2Sc crystal from Alexandria via LeMat-Bulk. Energies are from GGA-PBE.

Summary:
Theoretical density (Mg/m³): 5.46

Cell: 3.7569 3.7569 38.9782 Å, 90.00 90.00 120.00°
Closest atoms and distances in Å follow each position.
Space group R-3m (No. 166, hexagonal axes)
Unique sites:
Na 0.0000 0.0000 0.0000 x3  2 Ac 3.71, 6 Na 3.76
Ac 0.0000 0.0000 0.0952 x6  3 Sc 3.53, 1 Na 3.71, 6 Ac 3.76
Sc 0.0000 0.0000 0.5000 x3  6 Ac 3.53, 6 Sc 3.76


Result of the stability comparison: #two is the least stable of them.


#one
Here is a relaxed NaAc12Si6 crystal from Alexandria via LeMat-Bulk. Energies are from GGA-PBE.

Summary:
Theoretical density (Mg/m³): 7.05

Cell: 11.1156 11.1156 11.1156 Å, 90.00 90.00 90.00°
Closest atoms and distances in Å follow each position.
Space group Im-3 (No. 204)
Unique sites:
Na 0.0000 0.0000 0.0000 x2  12 Ac 4.01
Ac 0.0000 0.3061 0.1905 x24  3 Si 3.11-3.25
Si 0.0000 0.1081 0.5000 x12  1 Si 2.40


#two
Here is a relaxed NaAc12Si6 crystal from Alexandria via LeMat-Bulk. Energies are from GGA-PBE.

Summary:
Theoretical density (Mg/m³): 6.50

Cell: 14.8094 14.8094 11.7609 Å, 90.00 90.00 120.00°
Closest atoms and distances in Å follow each position.
Space group R-3m (No. 166, hexagonal axes)
Unique sites:
Na 0.0000 0.0000 0.0000 x3  18 Ac 4.86-5.08, 6 Si 4.91
Ac 0.0000 0.3697 0.5000 x18  4 Si 3.21-3.31
Ac 0.0908 0.1816 0.3625 x18  3 Si 3.22-3.25
Si 0.0457 0.5229 0.2770 x18  7 Ac 3.21-3.31


Result of the stability comparison: #two is the least stable of them.


#one
Here is a relaxed NaAcSm2 crystal from Alexandria via LeMat-Bulk. Energies are from GGA-PBE.

Summary:
Theoretical density (Mg/m³): 6.16

Cell: 3.7392 3.7392 10.6216 Å, 90.00 90.00 90.00°
Closest atoms and distances in Å follow each position.
Space group P4/mmm (No. 123)
Unique sites:
Na 0.0000 0.0000 0.0000 x1  4 Na 3.74, 8 Sm 3.80
Ac 0.0000 0.0000 0.5000 x1  8 Sm 3.70, 4 Ac 3.74
Sm 0.5000 0.5000 0.2565 x2  4 Ac 3.70, 4 Sm 3.74, 4 Na 3.80


#two
Here is a relaxed NaAcSm2 crystal from Alexandria via LeMat-Bulk. Energies are from GGA-PBE.

Summary:
Theoretical density (Mg/m³): 5.91

Cell: 3.6862 3.6862 39.4614 Å, 90.00 90.00 120.00°
Closest atoms and distances in Å follow each position.
Space group R-3m (No. 166, hexagonal axes)
Unique sites:
Na 0.0000 0.0000 0.0000 x3  2 Sm 3.58, 6 Na 3.69
Ac 0.0000 0.0000 0.5000 x3  6 Sm 3.68, 6 Ac 3.69
Sm 0.0000 0.0000 0.0907 x6  1 Na 3.58, 3 Ac 3.68, 6 Sm 3.69


Result of the stability comparison: #two is the least stable of them.


#one
Here is a relaxed NaAc2Sm crystal from Alexandria via LeMat-Bulk. Energies are from GGA-PBE.

Summary:
Theoretical density (Mg/m³): 6.32

Cell: 3.8804 3.8804 37.9334 Å, 90.00 90.00 120.00°
Closest atoms and distances in Å follow each position.
Space group R3m (No. 160, hexagonal axes)
Unique sites:
Na 0.0000 0.0000 0.0000 x3  6 Na 3.88, 6 Ac 4.00-4.01
Ac 0.0000 0.0000 0.4207 x3  3 Sm 3.75, 6 Ac 3.88, 3 Na 4.00
Ac 0.0000 0.0000 0.5790 x3  3 Sm 3.75, 6 Ac 3.88, 3 Na 4.01
Sm 0.0000 0.0000 0.8331 x3  6 Ac 3.75, 6 Sm 3.88


#two
Here is a relaxed NaAc2Sm crystal from Alexandria via LeMat-Bulk. Energies are from GGA-PBE.

Summary:
Theoretical density (Mg/m³): 6.36

Cell: 3.8343 3.8343 11.1445 Å, 90.00 90.00 90.00°
Closest atoms and distances in Å follow each position.
Space group P4/mmm (No. 123)
Unique sites:
Na 0.0000 0.0000 0.0000 x1  4 Na 3.83, 8 Ac 4.01
Ac 0.5000 0.5000 0.2648 x2  4 Sm 3.77, 4 Ac 3.83, 4 Na 4.01
Sm 0.0000 0.0000 0.5000 x1  8 Ac 3.77, 4 Sm 3.83


Result of the stability comparison: #two is the least stable of them.